Computed, not measured: a geometry-optimized HoBBr structure at the GGA-PBE level of DFT.

Geometry as POSCAR:
```
HoBBr
1.0
-1.660 -0.209 3.103
-1.668 -2.970 0.911
9.718 -4.115 5.145
Ho B Br
2 2 2
direct
0.994 0.994 0.653
0.006 0.006 0.347
0.666 0.666 0.507
0.334 0.334 0.493
0.679 0.679 0.178
0.321 0.321 0.822
```

Summary:
Calculated volume = 126.4 Å³ per cell
Formation energy without anion corrections = -1.0685 eV/atom
M_tot = 0.0 μB/f.u.
Space-group type = C2/m, No. 12
VASP energy = -5.38 eV/atom